Entry 1:
A plane-wave DFT calculation with PBE-GGA was carried out for an optimized crystal structure of La2Ho2CBr2Cl3.

Cell: 9.1946 9.1946 8.3503 Å, 102.93 102.93 24.36°
Sites, in units of the cell vectors:
Cl: 0.8334 0.8334 0.6954
Cl: 0.5000 0.5000 0.5000
Cl: 0.1666 0.1666 0.3046
Br: 0.8244 0.8244 0.1539
Br: 0.1756 0.1756 0.8461
La: 0.9997 0.9997 0.7837
La: 0.0003 0.0003 0.2163
Ho: 0.6365 0.6365 0.0712
Ho: 0.3635 0.3635 0.9288
C: 0.5000 0.5000 0.0000

Calculated values
Energy above the most stable polymorph in this dataset ... 2 meV/atom

---

Entry 2:
A plane-wave DFT calculation with PBE-GGA was carried out for an optimized crystal structure of NbZnPb.

Cell: 4.6761 4.6761 4.6761 Å, 60.00 60.00 60.00°
Sites, in units of the cell vectors:
Pb: 0.0000 0.0000 0.0000
Zn: 0.7500 0.7500 0.7500
Nb: 0.2500 0.2500 0.2500

Calculated values
Energy above the most stable polymorph in this dataset ... 184 meV/atom

---

Entry 3:
A plane-wave DFT calculation with PBE-GGA was carried out for an optimized crystal structure of Li4SnPd2Pb.

Cell: 4.5278 4.5278 6.4050 Å, 90.00 90.00 90.00°
Sites, in units of the cell vectors:
Li: 0.5000 0.5000 0.5000
Li: 0.0000 0.5000 0.2466
Li: 0.0000 0.0000 0.0000
Li: 0.5000 0.0000 0.7534
Pd: 0.0000 0.5000 0.7625
Pd: 0.5000 0.0000 0.2375
Sn: 0.5000 0.5000 0.0000
Pb: 0.0000 0.0000 0.5000

Calculated values
Calculated total energy ... -3.725 eV per atom

---

Entry 4:
A plane-wave DFT calculation with PBE-GGA was carried out for an optimized crystal structure of BaHoW.

Cell: 5.1211 5.1211 5.1211 Å, 60.00 60.00 60.00°
Sites, in units of the cell vectors:
Ho: 0.2500 0.2500 0.2500
W: 0.7500 0.7500 0.7500
Ba: 0.0000 0.0000 0.0000

Calculated values
Energy above the most stable polymorph in this dataset ... 288 meV/atom

---

Entry 5:
A plane-wave DFT calculation with PBE-GGA was carried out for an optimized crystal structure of Zr3AlN2.

Cell: 3.2380 3.2380 19.7872 Å, 90.00 90.00 120.00°
Sites, in units of the cell vectors:
Zr: 0.0000 0.0000 0.0000
Zr: 0.3333 0.6667 0.8658
Zr: 0.3333 0.6667 0.6342
Zr: 0.6667 0.3333 0.1342
Zr: 0.0000 0.0000 0.5000
Zr: 0.6667 0.3333 0.3658
Al: 0.0000 0.0000 0.2500
Al: 0.0000 0.0000 0.7500
N: 0.6667 0.3333 0.9327
N: 0.6667 0.3333 0.5673
N: 0.3333 0.6667 0.4327
N: 0.3333 0.6667 0.0673

Calculated values
Calculated total energy ... -8.946 eV per atom

---

Entry 6:
A plane-wave DFT calculation with PBE-GGA was carried out for an optimized crystal structure of CsRe3Se5.

Cell: 5.8302 5.8302 7.6219 Å, 90.00 90.00 120.00°
Each line ends with the local moment (μB).
Sites, in units of the cell vectors:
Se: 0.6667 0.3333 0.2542  0.00
Se: 0.0000 0.0000 0.5000  0.06
Se: 0.6667 0.3333 0.7458  0.00
Se: 0.3333 0.6667 0.2542  0.00
Se: 0.3333 0.6667 0.7458  0.00
Re: 0.5000 0.0000 0.5000  0.88
Re: 0.5000 0.5000 0.5000  0.87
Re: 0.0000 0.5000 0.5000  0.59
Cs: 0.0000 0.0000 0.0000  0.00

Calculated values
Calculated total energy ... -6.225 eV per atom

---

Entry 7:
A plane-wave DFT calculation with PBE-GGA was carried out for an optimized crystal structure of ZrCo2Ni.

Cell: 4.2960 5.2925 5.2925 Å, 119.68 90.00 90.00°
Each line ends with the local moment (μB).
Sites, in units of the cell vectors:
Ni: 0.7500 0.4396 0.5970  0.14
Ni: 0.2500 0.5970 0.4396  0.19
Co: 0.7500 0.8982 0.0594  0.96
Co: 0.2500 0.0594 0.8982  0.79
Co: 0.7500 0.9060 0.6012  1.00
Co: 0.2500 0.6012 0.9060  1.01
Zr: 0.2500 0.0846 0.4139  -0.21
Zr: 0.7500 0.4139 0.0846  -0.21

Calculated values
E_form ... -237.6 meV/atom

---

Entry 8:
A plane-wave DFT calculation with PBE-GGA was carried out for an optimized crystal structure of Co2BiOs.

Cell: 4.4086 4.4086 4.4086 Å, 60.00 60.00 60.00°
Each line ends with the local moment (μB).
Sites, in units of the cell vectors:
Os: 0.2500 0.2500 0.2500  0.39
Co: 0.0000 0.0000 0.0000  1.50
Co: 0.7500 0.7500 0.7500  1.33
Bi: 0.5000 0.5000 0.5000  -0.02

Calculated values
Calculated total energy ... -6.659 eV per atom

---

Which formula does entry 7 have? ZrCo2Ni